Compound: K2HgOs
Source: Alexandria via LeMat-Bulk
Functional: PBE-GGA
Structure: relaxed

Unit cell a=2.876 b=5.524 c=6.093 alpha=90.00 beta=90.14 gamma=90.00
Space group P2/m (No. 10)
Inequivalent atoms, fractional coordinates:
1 K 0.003 0.000 0.241 (multiplicity 2)
2 Hg 0.500 0.500 0.500 (multiplicity 1)
3 Os 0.500 0.500 0.000 (multiplicity 1)

- ΔH_f (0 K) (eV/f.u.) = 3.88
- electronic total energy (eV for the cell shown) = -9.8
- magnetic moment (μB per formula unit) = 0.000